Record 1
This record from Alexandria describes crystalline CsRb2NaZn at its relaxed geometry. The functional is PBE.

The structure in extended XYZ format:
```
5
Lattice="7.127 0.000 0.000 0.000 7.127 0.000 0.000 0.000 6.433" Properties=species:S:1:pos:R:3 pbc="T T T"
Cs 0.000 0.000 0.000
Rb 0.000 3.563 3.217
Rb 3.563 0.000 3.217
Na 3.563 3.563 0.000
Zn 3.563 3.563 3.217
```

Results
Spin magnetization, μB/atom: 0.0000
ΔH_f (0 K), meV per atom: 115
Distance to the lowest polymorph of the same formula, kJ/mol of atoms: 0.0
Total DFT energy (no corrections), eV per atom: -0.96
D(E_F), states/eV/cell: 4.6


Record 2
This record from Alexandria describes crystalline CsNa3Re at its relaxed geometry. The functional is PBE.

The structure in extended XYZ format:
```
5
Lattice="6.387 0.000 0.000 0.000 6.387 0.000 0.000 0.000 6.387" Properties=species:S:1:pos:R:3 pbc="T T T"
Cs 0.000 0.000 0.000
Na 0.000 0.000 3.194
Na 0.000 3.194 0.000
Na 3.194 0.000 0.000
Re 3.194 3.194 3.194
```

Results
Spin magnetization, μB/atom: 0.8030
ΔH_f (0 K), meV per atom: 1913
Distance to the lowest polymorph of the same formula, kJ/mol of atoms: 69.3
Total DFT energy (no corrections), eV per atom: -1.54
D(E_F), states/eV/cell: 6.2


Record 3
This record from Alexandria describes crystalline CsNa3Re at its relaxed geometry. The functional is PBE.

The structure in extended XYZ format:
```
5
Lattice="6.131 0.000 0.000 0.000 6.131 0.000 0.000 0.000 6.131" Properties=species:S:1:pos:R:3 pbc="T T T"
Cs 0.000 0.000 0.000
Na 0.000 3.065 3.065
Na 3.065 0.000 3.065
Na 3.065 3.065 0.000
Re 3.065 3.065 3.065
```

Results
Spin magnetization, μB/atom: 0.8232
ΔH_f (0 K), meV per atom: 1195
Distance to the lowest polymorph of the same formula, kJ/mol of atoms: 0.0
Total DFT energy (no corrections), eV per atom: -2.26
D(E_F), states/eV/cell: 5.8


Record 4
This record from Alexandria describes crystalline CsNaReS2 at its relaxed geometry. The functional is PBE.

The structure in extended XYZ format:
```
5
Lattice="4.672 0.000 0.000 0.000 4.672 0.000 0.000 0.000 6.415" Properties=species:S:1:pos:R:3 pbc="T T T"
Cs 0.000 0.000 0.000
Na 2.336 2.336 0.000
Re 0.000 0.000 3.207
S 0.000 2.336 3.207
S 2.336 0.000 3.207
```

Results
Spin magnetization, μB/atom: 0.0003
Raw formation energy, eV/atom: 0.27
Total DFT energy (no corrections), eV per atom: -4.31
D(E_F), states/eV/cell: 4.0


Record 5
This record from Alexandria describes crystalline CsNaReSb2 at its relaxed geometry. The functional is PBE.

The structure in extended XYZ format:
```
5
Lattice="5.199 0.000 0.000 0.000 5.199 0.000 0.000 0.000 5.951" Properties=species:S:1:pos:R:3 pbc="T T T"
Cs 0.000 0.000 0.000
Na 2.600 2.600 0.000
Re 2.600 2.600 2.975
Sb 0.000 2.600 2.975
Sb 2.600 0.000 2.975
```

Results
Spin magnetization, μB/atom: 0.0000
Raw formation energy, eV/atom: 0.22
Total DFT energy (no corrections), eV per atom: -4.35
D(E_F), states/eV/cell: 2.6


Record 6
This record from Alexandria describes crystalline CsNaReW2 at its relaxed geometry. The functional is PBE.

The structure in extended XYZ format:
```
5
Lattice="4.909 0.000 0.000 0.000 4.909 0.000 0.000 0.000 5.029" Properties=species:S:1:pos:R:3 pbc="T T T"
Cs 0.000 0.000 0.000
Na 0.000 0.000 2.514
Re 2.455 2.455 0.000
W 0.000 2.455 2.514
W 2.455 0.000 2.514
```

Results
Spin magnetization, μB/atom: 1.1075
ΔH_f (0 K), meV per atom: 3781
Total DFT energy (no corrections), eV per atom: -4.32
D(E_F), states/eV/cell: 7.7


Record 7
This record from Alexandria describes crystalline CsNa2ZnRe at its relaxed geometry. The functional is PBE.

The structure in extended XYZ format:
```
5
Lattice="5.935 0.000 0.000 0.000 5.935 0.000 0.000 0.000 5.923" Properties=species:S:1:pos:R:3 pbc="T T T"
Cs 0.000 0.000 0.000
Na 0.000 2.967 2.962
Na 2.967 0.000 2.962
Zn 2.967 2.967 0.000
Re 0.000 0.000 2.962
```

Results
Spin magnetization, μB/atom: 0.4934
ΔH_f (0 K), meV per atom: 1465
Total DFT energy (no corrections), eV per atom: -1.98
D(E_F), states/eV/cell: 5.9


Record 8
This record from Alexandria describes crystalline CsNaRh at its relaxed geometry. The functional is PBE.

The structure in extended XYZ format:
```
6
Lattice="6.446 -2.220 0.000 6.446 2.220 0.000 -0.564 0.000 8.124" Properties=species:S:1:pos:R:3 pbc="T T T"
Cs 0.000 0.000 0.000
Cs 9.503 0.000 2.010
Na 1.204 0.000 4.960
Na 4.694 0.000 5.142
Rh 2.909 0.000 7.377
Rh 9.173 0.000 6.457
```

Results
Spin magnetization, μB/atom: 0.0002
ΔH_f (0 K), meV per atom: 339
Distance to the lowest polymorph of the same formula, kJ/mol of atoms: 6.6
Total DFT energy (no corrections), eV per atom: -2.84
D(E_F), states/eV/cell: 4.6


Record 9
This record from Alexandria describes crystalline Cs3NaRh at its relaxed geometry. The functional is PBE.

The structure in extended XYZ format:
```
5
Lattice="6.442 0.000 0.000 0.000 6.442 0.000 0.000 0.000 6.442" Properties=species:S:1:pos:R:3 pbc="T T T"
Cs 0.000 0.000 3.221
Cs 0.000 3.221 0.000
Cs 3.221 0.000 0.000
Na 3.221 3.221 3.221
Rh 0.000 0.000 0.000
```

Results
Spin magnetization, μB/atom: 0.0000
ΔH_f (0 K), meV per atom: 402
Distance to the lowest polymorph of the same formula, kJ/mol of atoms: 0.0
Total DFT energy (no corrections), eV per atom: -1.84
D(E_F), states/eV/cell: 4.5


Record 10
This record from Alexandria describes crystalline CsNaRh3 at its relaxed geometry. The functional is PBE.

The structure in extended XYZ format:
```
5
Lattice="5.009 0.000 0.000 0.000 5.009 0.000 0.000 0.000 5.009" Properties=species:S:1:pos:R:3 pbc="T T T"
Cs 0.000 0.000 0.000
Na 2.504 2.504 2.504
Rh 0.000 0.000 2.504
Rh 0.000 2.504 0.000
Rh 2.504 0.000 0.000
```

Results
Spin magnetization, μB/atom: 0.1673
ΔH_f (0 K), meV per atom: 1722
Distance to the lowest polymorph of the same formula, kJ/mol of atoms: 10.0
Total DFT energy (no corrections), eV per atom: -3.12
D(E_F), states/eV/cell: 5.0


Record 11
This record from Alexandria describes crystalline CsNaRh3 at its relaxed geometry. The functional is PBE.

The structure in extended XYZ format:
```
5
Lattice="4.874 0.000 0.000 0.000 4.874 0.000 0.000 0.000 4.874" Properties=species:S:1:pos:R:3 pbc="T T T"
Cs 0.000 0.000 0.000
Na 2.437 2.437 2.437
Rh 0.000 2.437 2.437
Rh 2.437 0.000 2.437
Rh 2.437 2.437 0.000
```

Results
Spin magnetization, μB/atom: 0.5909
ΔH_f (0 K), meV per atom: 1619
Distance to the lowest polymorph of the same formula, kJ/mol of atoms: 0.0
Total DFT energy (no corrections), eV per atom: -3.23
D(E_F), states/eV/cell: 13.6


Record 12
This record from Alexandria describes crystalline CsNaRh at its relaxed geometry. The functional is PBE.

The structure in extended XYZ format:
```
6
Lattice="4.482 0.000 0.000 1.407 5.412 0.000 0.686 2.669 10.635" Properties=species:S:1:pos:R:3 pbc="T T T"
Cs 0.000 0.000 0.000
Cs 2.934 2.669 4.296
Na 2.166 5.608 6.481
Na 4.406 5.610 8.446
Rh 2.726 3.072 7.920
Rh 4.967 3.072 7.011
```

Results
Spin magnetization, μB/atom: 0.0000
ΔH_f (0 K), meV per atom: 295
Distance to the lowest polymorph of the same formula, kJ/mol of atoms: 2.4
Total DFT energy (no corrections), eV per atom: -2.88
D(E_F), states/eV/cell: 4.3